Entry from Alexandria: crystalline KCrOs2O8 at its relaxed geometry (GGA+U).

Summary:
* symmetry: No. 147
* DOS(E_F): 0.6 states/eV per cell
* volume: 200.8 Å³ per cell
* final energy: -84.64 eV/f.u.

Cell: 5.374 5.374 8.028 Å, 90.00 90.00 120.00°
Element x y z (fractional)
K (0.000, 0.000, 0.000)
Cr (0.000, 0.000, 0.500)
Os (0.333, 0.667, 0.723)
Os (0.667, 0.333, 0.277)
O (0.040, 0.323, 0.653)
O (0.282, 0.960, 0.653)
O (0.323, 0.282, 0.347)
O (0.333, 0.667, 0.943)
O (0.667, 0.333, 0.057)
O (0.677, 0.718, 0.653)
O (0.718, 0.040, 0.347)
O (0.960, 0.677, 0.347)